Compound: VHgBi3
Source: Alexandria
Functional: PBE-GGA
Structure: optimized geometry

The structure in POSCAR format:
```
VHgBi3
1.0
5.3162 0.0000 0.0000
0.0000 5.3162 0.0000
0.0000 0.0000 5.3162
V Hg Bi
1 1 3
Direct
0.0000 0.0000 0.0000 V
0.5000 0.5000 0.5000 Hg
0.0000 0.0000 0.5000 Bi
0.0000 0.5000 0.0000 Bi
0.5000 0.0000 0.0000 Bi
```

Calculated values
symmetry = Pm-3m, No. 221
magnetization = 0.0 μB per formula unit
distance to the lowest polymorph of the same formula = 0.000 eV per formula unit
ΔH_f (0 K) = 0.31 eV/atom